The following is a DFT calculation (PBE) of a relaxed structure of LiPuGa.

The structure in POSCAR format:
```
LiPuGa
1.0
0.000 3.386 3.386
3.386 0.000 3.386
3.386 3.386 0.000
Li Pu Ga
1 1 1
Cartesian
0.000 0.000 0.000 Li
5.079 5.079 5.079 Pu
3.386 3.386 3.386 Ga
```

Summary:
The calculation puts the energy above the lowest structure with this stoichiometry at 230 meV/atom.

=====

The following is a DFT calculation (PBE) of a relaxed structure of ErTm2Zn3CuPt2.

The structure in POSCAR format:
```
ErTm2Zn3CuPt2
1.0
3.743 0.000 0.000
0.000 6.265 3.611
0.000 -6.265 3.611
Er Tm Zn Cu Pt
1 2 3 1 2
Cartesian
0.000 0.000 0.000 Er
0.000 -2.562 4.432 Tm
0.000 2.562 4.432 Tm
1.872 -1.530 2.076 Zn
1.872 1.530 2.076 Zn
1.872 0.000 4.717 Zn
0.000 0.000 2.961 Cu
1.872 -4.169 2.953 Pt
1.872 4.169 2.953 Pt
```

Summary:
The formation energy is -18.4 kcal/mol of atoms.

=====

The following is a DFT calculation (PBE) of a relaxed structure of La3Cu4Sn2Ge2.

The structure in POSCAR format:
```
La3Cu4Sn2Ge2
1.0
-2.282 3.423 7.508
2.282 -3.423 7.508
2.282 3.423 -7.508
La Cu Sn Ge
3 4 2 2
Cartesian
0.000 0.000 0.000 La
2.282 0.000 5.571 La
0.000 3.423 1.937 La
2.282 1.265 -2.376 Cu
2.282 1.265 2.376 Cu
0.000 2.157 5.132 Cu
0.000 2.157 9.884 Cu
0.000 0.000 3.269 Sn
0.000 0.000 11.746 Sn
2.282 2.144 0.000 Ge
0.000 1.279 7.508 Ge
```

Summary:
The final energy comes out at -4.868 eV per atom.

=====

The following is a DFT calculation (PBE) of a relaxed structure of Tb2NdAl3Si2Ir.

The structure in POSCAR format:
```
Tb2NdAl3Si2Ir
1.0
4.253 0.000 0.000
0.000 6.077 3.496
0.000 -6.077 3.496
Tb Nd Al Si Ir
2 1 3 2 1
Cartesian
0.000 -3.557 3.496 Tb
0.000 3.557 3.496 Tb
0.000 0.000 2.635 Nd
2.127 0.000 0.163 Al
2.127 -1.414 4.757 Al
2.127 1.414 4.757 Al
2.127 -2.067 2.052 Si
2.127 2.067 2.052 Si
0.000 0.000 5.598 Ir
```

Summary:
The final energy comes out at -5.821 eV per atom.

=====

The following is a DFT calculation (PBE) of a relaxed structure of AcAsPt.

The structure in POSCAR format:
```
AcAsPt
1.0
0.000 3.564 3.564
3.564 0.000 3.564
3.564 3.564 0.000
Ac As Pt
1 1 1
Cartesian
0.000 0.000 0.000 Ac
5.346 5.346 5.346 As
1.782 1.782 1.782 Pt
```

Summary:
The final energy comes out at -5.241 eV per atom.

=====

The following is a DFT calculation (PBE) of a relaxed structure of HfAlCuPd.

The structure in POSCAR format:
```
HfAlCuPd
1.0
4.275 0.000 0.000
-2.138 3.703 0.000
0.000 0.000 8.204
Hf Al Cu Pd
2 2 2 2
Cartesian
0.000 2.468 0.000 Hf
2.138 1.234 4.102 Hf
0.000 0.000 2.042 Al
0.000 0.000 6.144 Al
0.000 2.468 2.743 Cu
2.138 1.234 6.845 Cu
0.000 2.468 5.433 Pd
2.138 1.234 1.332 Pd
```

Summary:
The final energy comes out at -6.214 eV per atom.

=====

The following is a DFT calculation (PBE) of a relaxed structure of Er3GePt4.

The structure in POSCAR format:
```
Er3GePt4
1.0
5.608 0.000 0.000
0.000 4.243 0.000
-0.163 0.000 6.883
Er Ge Pt
3 1 4
Cartesian
0.000 0.000 0.000 Er
1.246 0.000 3.432 Er
4.023 2.122 2.491 Er
2.661 2.122 5.762 Ge
0.179 2.122 5.006 Pt
1.140 2.122 1.500 Pt
2.875 0.000 0.635 Pt
3.858 0.000 4.523 Pt
```

Summary:
The final energy comes out at -6.385 eV per atom.

=====

The following is a DFT calculation (PBE) of a relaxed structure of NaSmNiSe3.

The structure in POSCAR format:
```
NaSmNiSe3
1.0
2.018 -6.748 0.000
2.018 6.748 0.000
0.000 0.000 10.805
Na Sm Ni Se
2 2 2 6
Cartesian
2.018 3.463 8.104 Na
2.018 -3.463 2.701 Na
0.000 0.000 0.000 Sm
0.000 0.000 5.402 Sm
2.018 0.243 2.701 Ni
2.018 -0.243 8.104 Ni
2.018 5.651 2.701 Se
2.018 1.857 0.929 Se
2.018 1.857 4.473 Se
2.018 -1.857 6.332 Se
2.018 -1.857 9.876 Se
2.018 -5.651 8.104 Se
```

Summary:
The calculation puts the energy above the lowest structure with this stoichiometry at 31 meV/atom.

=====

The following is a DFT calculation (PBE) of a relaxed structure of TaAgSn.

The structure in POSCAR format:
```
TaAgSn
1.0
0.000 3.233 3.233
3.233 0.000 3.233
3.233 3.233 0.000
Ta Ag Sn
1 1 1
Cartesian
0.000 0.000 0.000 Ta
3.233 3.233 3.233 Ag
4.849 4.849 4.849 Sn
```

Summary:
The final energy comes out at -5.454 eV per atom.

=====

The following is a DFT calculation (PBE) of a relaxed structure of RbCuAs.

The structure in POSCAR format:
```
RbCuAs
1.0
0.000 3.710 3.710
3.710 0.000 3.710
3.710 3.710 0.000
Rb Cu As
1 1 1
Cartesian
0.000 0.000 0.000 Rb
1.855 1.855 1.855 Cu
5.566 5.566 5.566 As
```

Summary:
The calculation puts the energy above the lowest structure with this stoichiometry at 674 meV/atom.

=====

The following is a DFT calculation (PBE) of a relaxed structure of Y3Co2.

The structure in POSCAR format:
```
Y3Co2
1.0
3.329 1.922 6.071
-3.329 1.922 6.071
0.000 -3.844 6.071
Y Co
6 4
Cartesian
-2.142 0.134 7.589 Y
-1.187 -1.788 10.624 Y
0.955 -1.922 7.589 Y
-0.955 1.922 10.624 Y
1.187 1.788 7.589 Y
2.142 -0.134 10.624 Y
0.000 0.000 3.272 Co
0.000 0.000 5.835 Co
0.000 0.000 12.378 Co
0.000 0.000 14.942 Co
```

Summary:
The calculation puts the energy above the lowest structure with this stoichiometry at 80 meV/atom. The formation energy is -2.0 kcal/mol of atoms.

=====

The following is a DFT calculation (PBE) of a relaxed structure of HfB4.

The structure in POSCAR format:
```
HfB4
1.0
2.677 -1.565 0.000
2.677 1.565 0.000
0.000 0.000 10.348
Hf B
2 8
Cartesian
2.677 1.311 7.761 Hf
2.677 -1.311 2.587 Hf
1.772 0.386 0.824 B
1.772 0.386 4.350 B
1.772 -0.386 5.998 B
1.772 -0.386 9.524 B
3.582 0.386 0.824 B
3.582 0.386 4.350 B
3.582 -0.386 5.998 B
3.582 -0.386 9.524 B
```

Summary:
The final energy comes out at -7.815 eV per atom.